(1)
Crystalline FeIBrN2 at its relaxed geometry, computed with GGA-PBE.

The value obtained for the density of states at the Fermi level is 4.2 states/eV/f.u. Its formation energy without anion corrections is 1859.3 meV per atom. The calculated total energy comes out at -19.040 eV per cell. As for the relative energy among the computed polymorphs: 0.587 eV/atom.

It has space group P4/mmm (No. 123), with a = 3.988 Å, b = 3.988 Å, c = 5.970 Å, α = 90.00°, β = 90.00° and γ = 90.00°. The asymmetric unit holds Fe at (0.000, 0.000, 0.000), I at (0.000, 0.000, 0.500), Br at (0.500, 0.500, 0.000) and N at (0.000, 0.500, 0.500).


(2)
Crystalline CoRe2NiW at its relaxed geometry, computed with GGA-PBE.

The value obtained for the density of states at the Fermi level is 8.0 states/eV/f.u. The calculated total energy comes out at -38.999 eV per cell. As for the formation energy from the elements: 2.347 eV/atom.

It has space group P4/mmm (No. 123), with a = 4.688 Å, b = 4.688 Å, c = 4.444 Å, α = 90.00°, β = 90.00° and γ = 90.00°. The asymmetric unit holds Co at (0.000, 0.000, 0.000), Re at (0.000, 0.500, 0.500), Ni at (0.500, 0.500, 0.000) and W at (0.500, 0.500, 0.500).


(3)
Crystalline MgSi2Os at its relaxed geometry, computed with GGA-PBE.

The value obtained for the density of states at the Fermi level is 1.1 states/eV/f.u. Its formation energy without anion corrections is -247.0 meV per atom. The calculated total energy comes out at -49.317 eV per cell.

It has space group P2/m (No. 10), with a = 5.172 Å, b = 2.979 Å, c = 8.461 Å, α = 90.00°, β = 103.70° and γ = 90.00°. The asymmetric unit holds Mg at (0.115, 0.000, 0.304), Si at (0.226, 0.500, 0.001), Si at (0.344, 0.500, 0.591) and Os at (0.432, 0.000, 0.827).


Among the records above, which one has the highest calculated total energy?
FeIBrN2


What did the third record say?
Crystalline MgSi2Os at its relaxed geometry, computed with GGA-PBE.

The value obtained for the density of states at the Fermi level is 1.1 states/eV/f.u. Its formation energy without anion corrections is -247.0 meV per atom. The calculated total energy comes out at -49.317 eV per cell.

It has space group P2/m (No. 10), with a = 5.172 Å, b = 2.979 Å, c = 8.461 Å, α = 90.00°, β = 103.70° and γ = 90.00°. The asymmetric unit holds Mg at (0.115, 0.000, 0.304), Si at (0.226, 0.500, 0.001), Si at (0.344, 0.500, 0.591) and Os at (0.432, 0.000, 0.827).


Which formula does entry 2 have?
CoRe2NiW